1.
Computed, not measured: an optimized crystal structure of LaHfAu at the GGA-PBE level of DFT.

Calculated values
Space group: No. 99
Spin magnetization, μB per formula unit: 0.000
Relative energy among the computed polymorphs, meV/atom: 0
Calculated volume, Å³/atom: 24.87
DFT formation energy, eV/atom: -0.405
Calculated total energy, eV per atom: -6.458

Unit cell a=3.412 b=3.412 c=12.817 alpha=90.00 beta=90.00 gamma=90.00
Atoms (fractional coordinates):
Hf (0.715, 0.793, 0.234)
Hf (0.215, 0.293, 0.384)
Au (0.215, 0.293, 0.110)
Au (0.214, 0.293, 0.762)
La (0.714, 0.793, 0.928)
La (0.714, 0.793, 0.592)



2.
Computed, not measured: an optimized crystal structure of Sm5Dy3Hg2 at the GGA-PBE level of DFT.

Calculated values
Space group: No. 72
Spin magnetization, μB per formula unit: 0.004
Calculated volume, Å³/atom: 32.17
DFT formation energy, eV/atom: 0.053
Calculated total energy, eV per atom: -3.747

Unit cell a=6.803 b=10.578 c=10.578 alpha=66.27 beta=71.24 gamma=71.24
Atoms (fractional coordinates):
Sm (0.250, 0.500, 0.500)
Sm (0.750, 0.500, 0.500)
Sm (0.558, 0.692, 0.692)
Sm (0.942, 0.308, 0.308)
Sm (0.442, 0.308, 0.308)
Sm (0.058, 0.692, 0.692)
Sm (0.058, 0.673, 0.212)
Sm (0.942, 0.327, 0.788)
Sm (0.558, 0.212, 0.673)
Sm (0.442, 0.788, 0.327)
Dy (0.250, 0.000, 0.000)
Dy (0.750, 0.000, 0.000)
Dy (0.329, 0.394, 0.949)
Dy (0.671, 0.606, 0.051)
Dy (0.829, 0.949, 0.394)
Dy (0.171, 0.051, 0.606)
Hg (0.158, 0.787, 0.896)
Hg (0.842, 0.213, 0.104)
Hg (0.658, 0.896, 0.787)
Hg (0.342, 0.104, 0.213)



3.
Computed, not measured: an optimized crystal structure of ReNiIr at the GGA-PBE level of DFT.

Calculated values
Space group: No. 42
Spin magnetization, μB per formula unit: 0.000
Relative energy among the computed polymorphs, meV/atom: 417
Calculated volume, Å³/atom: 14.03
DFT formation energy, eV/atom: 0.268
Calculated total energy, eV per atom: -8.762

Unit cell a=7.039 b=6.799 c=2.673 alpha=83.97 beta=73.84 gamma=22.18
Atoms (fractional coordinates):
Ir (0.001, 0.001, 0.999)
Ni (0.669, 0.669, 0.331)
Re (0.329, 0.329, 0.671)



4.
Computed, not measured: an optimized crystal structure of CdIn3Pd3 at the GGA-PBE level of DFT.

Calculated values
Space group: No. 166
Spin magnetization, μB per formula unit: 0.000
Relative energy among the computed polymorphs, meV/atom: 0
Calculated volume, Å³/atom: 19.83
DFT formation energy, eV/atom: -0.418
Calculated total energy, eV per atom: -3.948

Unit cell a=5.665 b=5.601 c=5.665 alpha=109.24 beta=109.70 gamma=109.24
Atoms (fractional coordinates):
Cd (0.000, 0.503, 0.000)
In (0.500, 0.004, 0.000)
In (0.500, 0.504, 0.500)
In (0.000, 0.004, 0.500)
Pd (0.500, 0.504, 0.000)
Pd (0.500, 0.003, 0.500)
Pd (0.000, 0.504, 0.500)



Among the records above, which one has the highest spin magnetization?
Sm5Dy3Hg2